DFT (PBE) results for an optimized crystal structure of Ce2TmSb2Te2.

Summary:
DFT total energy = -5.192 eV/atom
ρ = 6.31 Mg/m³
space group = I4/mmm

Unit cell a=5.662 b=5.662 c=8.746 alpha=108.89 beta=108.89 gamma=90.00
Each line ends with the local moment (μB).
Element x y z (fractional)
Te  0.192  0.192  0.384  -0.05
Te  0.808  0.808  0.616  -0.05
Ce  0.385  0.385  0.770  0.79
Ce  0.615  0.615  0.230  0.79
Tm  0.000  0.000  0.000  -0.04
Sb  0.000  0.500  0.000  -0.04
Sb  0.500  0.000  0.000  -0.04